A plane-wave DFT calculation with PBEsol was carried out for a relaxed structure of K3LiCd.

Energy ... -0.99 eV per atom
Energy of formation ... 30.7 kJ/mol of atoms

```
data_K3LiCd
_chemical_formula_sum 'K3 Li1 Cd1'
_cell_length_a 6.580
_cell_length_b 6.580
_cell_length_c 6.580
_cell_angle_alpha 90.00
_cell_angle_beta 90.00
_cell_angle_gamma 90.00
_space_group_name_H-M_alt 'P m -3 m'
_space_group_IT_number 221
_space_group_name_Hall '-P 4 2 3'
loop_
_atom_site_label
_atom_site_fract_x
_atom_site_fract_y
_atom_site_fract_z
K1 0.000 0.000 0.500
Li1 0.000 0.000 0.000
Cd1 0.500 0.500 0.500
```